1:
Here is a geometry-optimized Sm5Er4Tm2 structure from the Alexandria database. Energies are from PBE. Values from VASP.

Cell and atoms, written as Quantum ESPRESSO input:
```
&SYSTEM
  ibrav = 0, nat = 11, ntyp = 3
/
ATOMIC_SPECIES
Sm 150.36 Sm.upf
Er 167.26 Er.upf
Tm 168.93 Tm.upf
ATOMIC_POSITIONS angstrom
Sm 0.000 0.000 0.000
Sm 2.777 1.600 6.438
Sm 5.516 1.600 2.380
Sm 2.777 -1.600 6.438
Sm 5.516 -1.600 2.380
Er 0.621 0.000 8.811
Er 2.649 0.000 3.373
Er 5.644 0.000 5.445
Er 7.672 0.000 0.006
Tm -0.081 0.000 5.443
Tm 8.374 0.000 3.375
CELL_PARAMETERS angstrom
5.517 -3.631 0.000
5.517 3.631 0.000
-2.740 0.000 8.817
```

Summary:
Space-group type: No. 12
Fermi-level density of states, states/eV/f.u.: 14.779


2:
Here is a geometry-optimized Sm5Er4Tm2 structure from the Alexandria database. Energies are from PBE. Values from VASP.

Cell and atoms, written as Quantum ESPRESSO input:
```
&SYSTEM
  ibrav = 0, nat = 11, ntyp = 3
/
ATOMIC_SPECIES
Sm 150.36 Sm.upf
Er 167.26 Er.upf
Tm 168.93 Tm.upf
ATOMIC_POSITIONS angstrom
Sm 0.000 0.000 0.000
Sm 1.749 1.807 -3.408
Sm 1.749 1.807 3.408
Sm 0.000 2.702 8.274
Sm 0.000 2.702 15.090
Er 1.749 2.824 0.000
Er 1.749 0.000 9.418
Er 0.000 4.510 2.264
Er 0.000 1.686 11.682
Tm 1.749 0.000 6.295
Tm 0.000 4.510 5.387
CELL_PARAMETERS angstrom
-1.749 4.510 11.682
1.749 -4.510 11.682
1.749 4.510 -11.682
```

Summary:
Space-group type: No. 71
Fermi-level density of states, states/eV/f.u.: 17.739


Which structure wins on stability? 1 wins.


1:
Here is a geometry-optimized Sm7ErTm3 structure from the Alexandria database. Energies are from PBE. Values from VASP.

Cell and atoms, written as Quantum ESPRESSO input:
```
&SYSTEM
  ibrav = 0, nat = 11, ntyp = 3
/
ATOMIC_SPECIES
Sm 150.36 Sm.upf
Er 167.26 Er.upf
Tm 168.93 Tm.upf
ATOMIC_POSITIONS angstrom
Sm 0.000 0.000 0.000
Sm 3.074 2.370 1.595
Sm 1.568 0.000 4.108
Sm 6.912 2.370 3.584
Sm 3.074 -2.370 1.595
Sm 8.418 0.000 1.071
Sm 6.912 -2.370 3.584
Er -1.338 0.000 2.589
Tm 6.331 2.301 0.000
Tm 4.993 0.000 2.589
Tm 6.331 -2.301 0.000
CELL_PARAMETERS angstrom
6.331 -5.625 0.000
6.331 5.625 0.000
-2.676 0.000 5.179
```

Summary:
Space-group type: No. 12
Fermi-level density of states, states/eV/f.u.: 14.731


2:
Here is a geometry-optimized Sm7ErTm3 structure from the Alexandria database. Energies are from PBE. Values from VASP.

Cell and atoms, written as Quantum ESPRESSO input:
```
&SYSTEM
  ibrav = 0, nat = 11, ntyp = 3
/
ATOMIC_SPECIES
Sm 150.36 Sm.upf
Er 167.26 Er.upf
Tm 168.93 Tm.upf
ATOMIC_POSITIONS angstrom
Sm 0.000 0.000 0.000
Sm 0.011 2.792 2.719
Sm 0.019 2.792 5.957
Sm 0.031 0.000 7.717
Sm 3.511 0.000 1.586
Sm 3.523 2.792 3.346
Sm 3.531 2.792 6.584
Er -1.746 0.000 4.652
Tm -1.527 2.792 9.300
Tm 1.771 0.000 4.652
Tm 5.069 2.792 0.003
CELL_PARAMETERS angstrom
7.034 0.000 0.000
0.000 5.585 0.000
-3.493 0.000 9.303
```

Summary:
Space-group type: No. 10
Fermi-level density of states, states/eV/f.u.: 16.114


Which structure wins on stability? 2 wins.


1:
Here is a geometry-optimized SmEr2Tm6 structure from the Alexandria database. Energies are from PBE. Values from VASP.

Cell and atoms, written as Quantum ESPRESSO input:
```
&SYSTEM
  ibrav = 0, nat = 9, ntyp = 3
/
ATOMIC_SPECIES
Sm 150.36 Sm.upf
Er 167.26 Er.upf
Tm 168.93 Tm.upf
ATOMIC_POSITIONS angstrom
Sm 0.000 0.000 0.000
Er 0.000 0.000 13.363
Er 0.000 0.000 17.142
Tm 0.000 -2.013 5.075
Tm -1.743 1.006 5.075
Tm 0.000 -1.949 10.127
Tm -1.688 0.975 10.127
Tm 1.743 1.006 5.075
Tm 1.688 0.975 10.127
CELL_PARAMETERS angstrom
3.424 1.977 7.590
-3.424 1.977 7.590
0.000 -3.953 7.590
```

Summary:
Space-group type: No. 160
Fermi-level density of states, states/eV/f.u.: 15.327


2:
Here is a geometry-optimized SmEr2Tm6 structure from the Alexandria database. Energies are from PBE. Values from VASP.

Cell and atoms, written as Quantum ESPRESSO input:
```
&SYSTEM
  ibrav = 0, nat = 9, ntyp = 3
/
ATOMIC_SPECIES
Sm 150.36 Sm.upf
Er 167.26 Er.upf
Tm 168.93 Tm.upf
ATOMIC_POSITIONS angstrom
Sm 0.000 0.000 0.000
Er 2.010 0.000 10.831
Er 6.271 0.000 3.119
Tm -0.031 0.000 6.203
Tm 3.124 0.000 1.466
Tm 3.060 0.000 4.816
Tm 5.221 0.000 9.135
Tm 5.157 0.000 12.485
Tm 8.312 0.000 7.748
CELL_PARAMETERS angstrom
5.761 -1.737 0.000
5.761 1.737 0.000
-3.240 0.000 13.951
```

Summary:
Space-group type: No. 12
Fermi-level density of states, states/eV/f.u.: 14.325


Which structure wins on stability? 2 wins.


1:
Here is a geometry-optimized Sm4Er4Tm structure from the Alexandria database. Energies are from PBE. Values from VASP.

Cell and atoms, written as Quantum ESPRESSO input:
```
&SYSTEM
  ibrav = 0, nat = 9, ntyp = 3
/
ATOMIC_SPECIES
Sm 150.36 Sm.upf
Er 167.26 Er.upf
Tm 168.93 Tm.upf
ATOMIC_POSITIONS angstrom
Sm 1.000 0.000 2.870
Sm 4.125 0.000 1.330
Sm 9.947 0.000 4.902
Sm 13.072 0.000 3.362
Er -1.132 0.000 5.455
Er 4.090 0.000 5.131
Er 9.982 0.000 1.101
Er 15.204 0.000 0.777
Tm 7.036 0.000 3.116
CELL_PARAMETERS angstrom
8.370 -2.775 0.000
8.370 2.775 0.000
-2.668 0.000 6.232
```

Summary:
Space-group type: No. 12
Fermi-level density of states, states/eV/f.u.: 15.239


2:
Here is a geometry-optimized Sm4Er4Tm structure from the Alexandria database. Energies are from PBE. Values from VASP.

Cell and atoms, written as Quantum ESPRESSO input:
```
&SYSTEM
  ibrav = 0, nat = 9, ntyp = 3
/
ATOMIC_SPECIES
Sm 150.36 Sm.upf
Er 167.26 Er.upf
Tm 168.93 Tm.upf
ATOMIC_POSITIONS angstrom
Sm 1.778 1.778 0.000
Sm 3.565 -3.565 2.507
Sm -3.565 3.565 2.507
Sm 3.565 3.565 2.507
Er 5.342 1.769 0.000
Er 1.769 5.342 0.000
Er 3.574 0.000 2.507
Er 0.000 3.574 2.507
Tm 0.000 0.000 2.507
CELL_PARAMETERS angstrom
-5.342 5.342 2.507
5.342 -5.342 2.507
5.342 5.342 -2.507
```

Summary:
Space-group type: No. 139
Fermi-level density of states, states/eV/f.u.: 12.849


Which structure wins on stability? 2 wins.


1:
Here is a geometry-optimized Sm3ErTm structure from the Alexandria database. Energies are from PBE. Values from VASP.

Cell and atoms, written as Quantum ESPRESSO input:
```
&SYSTEM
  ibrav = 0, nat = 10, ntyp = 3
/
ATOMIC_SPECIES
Sm 150.36 Sm.upf
Er 167.26 Er.upf
Tm 168.93 Tm.upf
ATOMIC_POSITIONS angstrom
Sm 1.052 1.356 0.436
Sm 4.204 6.246 3.901
Sm 2.102 2.429 6.504
Sm 7.352 6.800 2.169
Sm 5.250 2.983 4.772
Sm 8.402 7.873 8.238
Er 2.105 3.539 3.026
Er 7.349 5.690 5.647
Tm 4.199 5.161 7.374
Tm 5.255 4.069 1.299
CELL_PARAMETERS angstrom
6.299 0.000 0.000
3.149 5.993 0.000
0.005 3.236 8.673
```

Summary:
Space-group type: No. 2
Fermi-level density of states, states/eV/f.u.: 8.546


2:
Here is a geometry-optimized Sm3ErTm structure from the Alexandria database. Energies are from PBE. Values from VASP.

Cell and atoms, written as Quantum ESPRESSO input:
```
&SYSTEM
  ibrav = 0, nat = 10, ntyp = 3
/
ATOMIC_SPECIES
Sm 150.36 Sm.upf
Er 167.26 Er.upf
Tm 168.93 Tm.upf
ATOMIC_POSITIONS angstrom
Sm 0.004 0.020 2.458
Sm 0.004 5.826 2.458
Sm 0.002 2.923 5.167
Sm 1.809 8.769 3.163
Sm 1.808 5.866 5.871
Sm 1.808 11.672 5.871
Er 0.001 8.769 5.872
Er 1.811 2.923 2.457
Tm -0.003 8.769 0.281
Tm 1.814 2.923 8.049
CELL_PARAMETERS angstrom
3.616 0.000 0.000
0.000 11.692 0.000
-1.804 0.000 8.329
```

Summary:
Space-group type: No. 11
Fermi-level density of states, states/eV/f.u.: 8.776


Which structure wins on stability? 1 wins.


1:
Here is a geometry-optimized Sm6Er12Tm structure from the Alexandria database. Energies are from PBE. Values from VASP.

Cell and atoms, written as Quantum ESPRESSO input:
```
&SYSTEM
  ibrav = 0, nat = 19, ntyp = 3
/
ATOMIC_SPECIES
Sm 150.36 Sm.upf
Er 167.26 Er.upf
Tm 168.93 Tm.upf
ATOMIC_POSITIONS angstrom
Sm -2.889 -1.668 5.652
Sm 0.000 -3.336 6.893
Sm -2.889 1.668 6.893
Sm 2.889 -1.668 5.652
Sm 0.000 3.336 5.652
Sm 2.889 1.668 6.893
Er -1.688 -4.652 4.182
Er -4.873 0.864 4.182
Er 0.000 -2.065 2.959
Er -1.788 1.033 2.959
Er 1.688 -4.652 4.182
Er -3.185 3.788 4.182
Er 1.788 1.033 2.959
Er -1.788 -1.033 9.587
Er 4.873 0.864 4.182
Er 3.185 3.788 4.182
Er 1.788 -1.033 9.587
Er 0.000 2.065 9.587
Tm 0.000 0.000 6.273
CELL_PARAMETERS angstrom
6.561 3.788 4.182
-6.561 3.788 4.182
0.000 -7.576 4.182
```

Summary:
Space-group type: No. 166
Fermi-level density of states, states/eV/f.u.: 31.041


2:
Here is a geometry-optimized Sm6Er12Tm structure from the Alexandria database. Energies are from PBE. Values from VASP.

Cell and atoms, written as Quantum ESPRESSO input:
```
&SYSTEM
  ibrav = 0, nat = 19, ntyp = 3
/
ATOMIC_SPECIES
Sm 150.36 Sm.upf
Er 167.26 Er.upf
Tm 168.93 Tm.upf
ATOMIC_POSITIONS angstrom
Sm 0.000 -2.506 6.932
Sm -2.170 1.253 6.932
Sm -2.170 -1.253 10.436
Sm 2.170 1.253 6.932
Sm 2.170 -1.253 10.436
Sm 0.000 2.506 10.436
Er -1.930 -1.114 4.286
Er 0.000 -4.333 4.183
Er -3.752 2.166 4.183
Er -3.752 -2.166 13.185
Er 1.930 -1.114 4.286
Er 0.000 2.228 4.286
Er 0.000 -2.228 13.083
Er -1.930 1.114 13.083
Er 3.752 2.166 4.183
Er 3.752 -2.166 13.185
Er 0.000 4.333 13.185
Er 1.930 1.114 13.083
Tm 0.000 0.000 8.684
CELL_PARAMETERS angstrom
5.505 3.178 5.789
-5.505 3.178 5.789
0.000 -6.356 5.789
```

Summary:
Space-group type: No. 166
Fermi-level density of states, states/eV/f.u.: 28.285


Which structure wins on stability? 2 wins.


1:
Here is a geometry-optimized Sm5Er3Tm3 structure from the Alexandria database. Energies are from PBE. Values from VASP.

Cell and atoms, written as Quantum ESPRESSO input:
```
&SYSTEM
  ibrav = 0, nat = 11, ntyp = 3
/
ATOMIC_SPECIES
Sm 150.36 Sm.upf
Er 167.26 Er.upf
Tm 168.93 Tm.upf
ATOMIC_POSITIONS angstrom
Sm -0.898 1.556 0.000
Sm 1.796 0.000 0.000
Sm 0.000 6.407 0.000
Sm 5.549 3.204 0.000
Sm 4.651 8.055 0.000
Er -3.648 6.318 0.000
Er 1.901 3.293 0.000
Er 7.295 0.000 0.000
Tm -2.261 3.916 1.723
Tm 4.521 0.000 1.723
Tm 3.288 5.695 1.723
CELL_PARAMETERS angstrom
11.097 0.000 0.000
-5.549 9.611 0.000
0.000 0.000 3.446
```

Summary:
Space-group type: No. 189
Fermi-level density of states, states/eV/f.u.: 18.006


2:
Here is a geometry-optimized Sm5Er3Tm3 structure from the Alexandria database. Energies are from PBE. Values from VASP.

Cell and atoms, written as Quantum ESPRESSO input:
```
&SYSTEM
  ibrav = 0, nat = 11, ntyp = 3
/
ATOMIC_SPECIES
Sm 150.36 Sm.upf
Er 167.26 Er.upf
Tm 168.93 Tm.upf
ATOMIC_POSITIONS angstrom
Sm -3.685 6.382 0.000
Sm 0.000 6.436 0.000
Sm 1.889 3.271 0.000
Sm 7.370 0.000 0.000
Sm 5.574 3.218 0.000
Er -2.257 3.909 1.713
Er 4.514 0.000 1.713
Er 3.317 5.745 1.713
Tm -0.888 1.537 0.000
Tm 1.775 0.000 0.000
Tm 4.686 8.116 0.000
CELL_PARAMETERS angstrom
11.147 0.000 0.000
-5.573 9.654 0.000
0.000 0.000 3.425
```

Summary:
Space-group type: No. 189
Fermi-level density of states, states/eV/f.u.: 16.477


Which structure wins on stability? 2 wins.


1:
Here is a geometry-optimized Sm2Er3Tm6 structure from the Alexandria database. Energies are from PBE. Values from VASP.

Cell and atoms, written as Quantum ESPRESSO input:
```
&SYSTEM
  ibrav = 0, nat = 11, ntyp = 3
/
ATOMIC_SPECIES
Sm 150.36 Sm.upf
Er 167.26 Er.upf
Tm 168.93 Tm.upf
ATOMIC_POSITIONS angstrom
Sm 0.000 0.000 1.517
Sm 0.000 0.000 31.284
Er 0.000 0.000 9.793
Er 0.000 0.000 16.400
Er 0.000 0.000 23.008
Tm 2.340 0.000 4.011
Tm 0.000 0.000 6.398
Tm 2.340 0.000 12.389
Tm 0.000 2.340 4.011
Tm 0.000 0.000 26.402
Tm 0.000 2.340 12.389
CELL_PARAMETERS angstrom
-2.340 2.340 16.400
2.340 -2.340 16.400
2.340 2.340 -16.400
```

Summary:
Space-group type: No. 139
Fermi-level density of states, states/eV/f.u.: 16.940


2:
Here is a geometry-optimized Sm2Er3Tm6 structure from the Alexandria database. Energies are from PBE. Values from VASP.

Cell and atoms, written as Quantum ESPRESSO input:
```
&SYSTEM
  ibrav = 0, nat = 11, ntyp = 3
/
ATOMIC_SPECIES
Sm 150.36 Sm.upf
Er 167.26 Er.upf
Tm 168.93 Tm.upf
ATOMIC_POSITIONS angstrom
Sm 3.016 3.490 0.000
Sm 3.016 -3.490 0.000
Er -1.014 0.000 5.687
Er 2.002 1.728 5.687
Er 2.002 -1.728 5.687
Tm -0.012 1.745 8.499
Tm 0.999 0.000 2.873
Tm -0.012 -1.745 8.499
Tm 4.017 1.745 2.876
Tm 3.006 0.000 8.502
Tm 4.017 -1.745 2.876
CELL_PARAMETERS angstrom
3.016 -5.232 0.000
3.016 5.232 0.000
-2.028 0.000 11.375
```

Summary:
Space-group type: No. 12
Fermi-level density of states, states/eV/f.u.: 18.416


Which structure wins on stability? 2 wins.